## Zn3PPd6 (PBE)

Data for a geometry-optimized Zn3PPd6 structure.

Cell: 5.562 7.039 9.572 Å, 90.00 123.40 90.00°
Space group P2_1/c (No. 14)
Unique sites:
Zn 0.000 0.000 0.000 [2 per cell]
Zn 0.145 0.124 0.753 [4 per cell]
P 0.500 0.000 0.500 [2 per cell]
Pd 0.101 0.160 0.458 [4 per cell]
Pd 0.341 0.683 0.454 [4 per cell]
Pd 0.476 0.086 0.261 [4 per cell]

Output
* calculated formation energy: -0.380 eV/atom
* M_tot: 0.00 μB/cell
* electronic total energy: -4.418 eV/atom